# 1
VASP calculation (GGA-PBE) on a relaxed ScMnRuW crystal.

Computed properties:
Density of states at the Fermi level = 0.46 states/eV per atom
Crystal system = cubic
Energy relative to the elements = -164.4 meV per atom
Space group = No. 216

Unit cell a=4.3836 b=4.3836 c=4.3836 alpha=60.00 beta=60.00 gamma=60.00
With the nearest neighbours (Å) after each atom.
Element x y z (fractional)
Sc: 0.0000 0.0000 0.0000  4 Mn 2.68, 4 Ru 2.68
Mn: 0.7500 0.7500 0.7500  4 W 2.68, 4 Sc 2.68
Ru: 0.2500 0.2500 0.2500  4 W 2.68, 4 Sc 2.68
W: 0.5000 0.5000 0.5000  4 Mn 2.68, 4 Ru 2.68

# 2
VASP calculation (GGA-PBE) on a relaxed YScMnRu crystal.

Computed properties:
Density of states at the Fermi level = 0.97 states/eV per atom
Crystal system = cubic
Energy relative to the elements = -114.6 meV per atom
Space group = No. 216

Unit cell a=4.7712 b=4.7712 c=4.7712 alpha=60.00 beta=60.00 gamma=60.00
With the nearest neighbours (Å) after each atom.
Element x y z (fractional)
Y: 0.0000 0.0000 0.0000  4 Mn 2.92, 4 Ru 2.92
Sc: 0.5000 0.5000 0.5000  4 Mn 2.92, 4 Ru 2.92
Mn: 0.7500 0.7500 0.7500  4 Y 2.92, 4 Sc 2.92
Ru: 0.2500 0.2500 0.2500  4 Sc 2.92, 4 Y 2.92

# 3
VASP calculation (GGA-PBE) on a relaxed ScMnZn2Ru crystal.

Computed properties:
Density of states at the Fermi level = 1.04 states/eV per atom
Crystal system = tetragonal
Energy relative to the elements = 867.3 meV per atom
Space group = No. 123

Unit cell a=4.5620 b=4.5620 c=4.4240 alpha=90.00 beta=90.00 gamma=90.00
With the nearest neighbours (Å) after each atom.
Element x y z (fractional)
Sc: 0.0000 0.0000 0.0000  2 Mn 2.21
Mn: 0.0000 0.0000 0.5000  2 Sc 2.21, 4 Zn 2.28
Zn: 0.0000 0.5000 0.5000  2 Mn 2.28
Zn: 0.5000 0.0000 0.5000  2 Mn 2.28
Ru: 0.5000 0.5000 0.0000  8 Zn 3.18, 4 Sc 3.23

# 4
VASP calculation (GGA-PBE) on a relaxed Sc2Mn2ZnRu5 crystal.

Computed properties:
Density of states at the Fermi level = 0.98 states/eV per atom
Crystal system = tetragonal
Energy relative to the elements = -70.1 meV per atom
Space group = No. 127

Unit cell a=9.5512 b=9.5512 c=3.3419 alpha=90.00 beta=90.00 gamma=90.00
With the nearest neighbours (Å) after each atom.
Element x y z (fractional)
Sc: 0.1706 0.3294 0.0000  3 Mn 2.67-2.91, 2 Ru 2.85
Sc: 0.3294 0.8294 0.0000  3 Mn 2.67-2.91, 2 Ru 2.85
Sc: 0.6706 0.1706 0.0000  3 Mn 2.67-2.91, 2 Ru 2.85
Sc: 0.8294 0.6706 0.0000  3 Mn 2.67-2.91, 2 Ru 2.85
Mn: 0.1318 0.6318 0.0000  6 Ru 2.38-2.44
Mn: 0.3682 0.1318 0.0000  6 Ru 2.38-2.44
Mn: 0.6318 0.8682 0.0000  6 Ru 2.38-2.44
Mn: 0.8682 0.3682 0.0000  6 Ru 2.38-2.44
Zn: 0.0000 0.0000 0.0000  8 Ru 2.64
Zn: 0.5000 0.5000 0.0000  8 Ru 2.64
Ru: 0.0000 0.5000 0.5000  4 Mn 2.44
Ru: 0.0670 0.7970 0.5000  2 Mn 2.38, 2 Zn 2.64
Ru: 0.2030 0.0670 0.5000  2 Mn 2.38, 2 Zn 2.64
Ru: 0.2970 0.5670 0.5000  2 Mn 2.38, 2 Zn 2.64
Ru: 0.4330 0.2970 0.5000  2 Mn 2.38, 2 Zn 2.64
Ru: 0.5000 0.0000 0.5000  4 Mn 2.44
Ru: 0.5670 0.7030 0.5000  2 Mn 2.38, 2 Zn 2.64
Ru: 0.7030 0.4330 0.5000  2 Mn 2.38, 2 Zn 2.64
Ru: 0.7970 0.9330 0.5000  2 Mn 2.38, 2 Zn 2.64
Ru: 0.9330 0.2030 0.5000  2 Mn 2.38, 2 Zn 2.64

# 5
VASP calculation (GGA-PBE) on a relaxed MnRuSe2 crystal.

Computed properties:
ΔE_f (raw) = -0.2896 eV per atom
Density of states at the Fermi level = 0.45 states/eV per atom
Crystal system = monoclinic
Space group = No. 6

Unit cell a=3.8277 b=3.8280 c=6.1109 alpha=90.00 beta=90.14 gamma=90.00
With the nearest neighbours (Å) after each atom.
Element x y z (fractional)
Mn: 0.0000 0.0000 0.0000  4 Se 2.45, 4 Ru 2.71
Ru: 0.5000 0.5000 0.0001  4 Se 2.45, 4 Mn 2.71
Se: 0.5010 0.0000 0.2492  2 Ru 2.45, 2 Mn 2.45
Se: 0.9990 0.5000 0.7508  2 Mn 2.45, 2 Ru 2.45

# 6
VASP calculation (GGA-PBE) on a relaxed MnRu2Se crystal.

Computed properties:
ΔE_f (raw) = 0.5262 eV per atom
Density of states at the Fermi level = 1.39 states/eV per atom
Crystal system = orthorhombic
Space group = No. 35

Unit cell a=2.8029 b=2.8029 c=8.6577 alpha=90.00 beta=90.00 gamma=117.66
With the nearest neighbours (Å) after each atom.
Element x y z (fractional)
Mn: 0.0000 0.0000 0.0000  2 Ru 2.56, 2 Se 2.57, 4 Mn 2.80
Ru: 0.0000 0.0000 0.4951  8 Ru 2.62-2.90, 2 Se 2.68
Ru: 0.5000 0.5000 0.2436  2 Mn 2.56, 6 Ru 2.62-2.80
Se: 0.5000 0.5000 0.7548  2 Mn 2.57, 2 Ru 2.68, 4 Se 2.80